Density functional theory data (GGA-PBE) for a relaxed structure of Ho8HgGe5.

Values from the calculation:
space group	No. 82

Unit cell a=7.663 b=7.663 c=7.663 alpha=109.46 beta=109.46 gamma=109.50
Atoms (fractional coordinates):
Ho  0.002  0.884  0.257
Ho  0.116  0.373  0.118
Ho  0.117  0.375  0.607
Ho  0.255  0.998  0.882
Ho  0.490  0.883  0.258
Ho  0.625  0.232  0.742
Ho  0.627  0.745  0.743
Ho  0.768  0.510  0.393
Hg  0.500  0.500  0.000
Ge  0.000  0.622  0.879
Ge  0.250  0.750  0.500
Ge  0.378  0.257  0.378
Ge  0.743  0.121  0.121
Ge  0.879  0.000  0.622

=====

Density functional theory data (GGA-PBE) for a relaxed structure of NdScAl2Zn2.

Values from the calculation:
space group	No. 164

Unit cell a=4.435 b=4.435 c=7.158 alpha=90.00 beta=90.00 gamma=120.00
Atoms (fractional coordinates):
Nd  0.000  0.000  0.000
Sc  0.000  0.000  0.500
Al  0.333  0.667  0.716
Al  0.667  0.333  0.284
Zn  0.333  0.667  0.293
Zn  0.667  0.333  0.707

=====

| no. | energy of formation from the pure elements (eV per formula unit) |
| --- | --- |
| 1 | -10.5 |
| 2 | -2.7 |